Entry 1:
A relaxed CsNaSnO2 crystal. Source: Alexandria via LeMat-Bulk, functional PBE.

Results
* excess energy over the best structure of this formula in the dataset: 1.470 eV/atom
* total magnetization: 0.0 μB/cell
* crystal system: tetragonal
* Fermi-level density of states: 0.55 states/eV per atom
* raw formation energy: 0.22 eV/atom

Cell: 4.7760 4.7760 4.9277 Å, 90.00 90.00 90.00°
Closest atoms and distances in Å follow each position.
Space group P4/mmm (No. 123)
Symmetry-distinct sites (fractional):
Cs 0.0000 0.0000 0.0000 [1 per cell]  2 Na 2.46
Na 0.0000 0.0000 0.5000 [1 per cell]  4 O 2.39, 2 Cs 2.46
Sn 0.5000 0.5000 0.0000 [1 per cell]  4 Cs 3.38, 8 O 3.43
O 0.0000 0.5000 0.5000 [2 per cell]  2 Na 2.39

=====

Entry 2:
A relaxed Pr6AlSe12 crystal. Source: Alexandria via LeMat-Bulk, functional PBE.

Results
* total magnetization: 0.0 μB/cell
* crystal system: trigonal
* Fermi-level density of states: 0.85 states/eV per atom
* raw formation energy: -1.48 eV/atom

Cell: 12.7329 12.7329 11.9656 Å, 90.00 90.00 120.00°
Closest atoms and distances in Å follow each position.
Space group R-3 (No. 148, hexagonal axes)
Symmetry-distinct sites (fractional):
Pr 0.0518 0.6033 0.3172 [18 per cell]  7 Se 2.99-3.08
Al 0.0000 0.0000 0.0000 [3 per cell]  6 Se 2.58
Se 0.0456 0.8253 0.4004 [18 per cell]  4 Pr 2.99-3.08
Se 0.0536 0.8605 0.8868 [18 per cell]  1 Al 2.58